1.
Below is a geometry-optimized NpUOsPd structure, with properties calculated at the GGA-PBE level.

Unit cell a=6.5569 b=6.5569 c=6.5569 alpha=90.00 beta=90.00 gamma=90.00
Closest atoms and distances in Å follow each position.
Space group F-43m (No. 216)
Unique sites:
Np: 0.0000 0.0000 0.0000 (multiplicity 4)  4 U 2.84, 4 Pd 2.84
U: 0.2500 0.2500 0.7500 (multiplicity 4)  4 Os 2.84, 4 Np 2.84
Os: 0.0000 0.0000 0.5000 (multiplicity 4)  4 U 2.84, 4 Pd 2.84
Pd: 0.2500 0.2500 0.2500 (multiplicity 4)  4 Os 2.84, 4 Np 2.84

Summary:
- Crystal system: cubic
- Formation enthalpy at 0 K: -0.875 eV per formula unit

---

2.
Below is a geometry-optimized Dy8Mg2Sc structure, with properties calculated at the GGA-PBE level.

Unit cell a=17.4568 b=4.9538 c=7.8347 alpha=90.00 beta=106.97 gamma=90.00
Closest atoms and distances in Å follow each position.
Space group C2/m (No. 12)
Unique sites:
Dy: 0.0468 0.0000 0.2315 (multiplicity 4)  9 Dy 3.44-3.54, 1 Mg 3.44, 2 Sc 3.50
Dy: 0.0916 0.5000 0.9514 (multiplicity 4)  3 Mg 3.42-3.43, 1 Sc 3.43, 8 Dy 3.46-3.56
Dy: 0.1375 0.0000 0.6891 (multiplicity 4)  3 Mg 3.38-3.43, 7 Dy 3.45-3.52, 2 Sc 3.47
Dy: 0.1813 0.5000 0.4226 (multiplicity 4)  3 Mg 3.37-3.59, 1 Sc 3.39, 8 Dy 3.41-3.56
Mg: 0.2270 0.0000 0.1344 (multiplicity 4)  10 Dy 3.37-3.59, 2 Mg 3.49
Sc: 0.0000 0.5000 0.5000 (multiplicity 2)  12 Dy 3.39-3.50

Summary:
- Distance to the lowest polymorph of the same formula: 0.00 eV/f.u.
- Crystal system: monoclinic
- Formation enthalpy at 0 K: 0.253 eV per formula unit

---

3.
Below is a geometry-optimized NpAs12Rh4 structure, with properties calculated at the GGA-PBE level.

Unit cell a=8.6484 b=8.6484 c=8.6484 alpha=90.00 beta=90.00 gamma=90.00
Closest atoms and distances in Å follow each position.
Space group Im-3 (No. 204)
Unique sites:
Np: 0.0000 0.0000 0.0000 (multiplicity 2)  12 As 3.21
As: 0.0000 0.3419 0.1445 (multiplicity 24)  2 Rh 2.48, 2 As 2.50-2.73
Rh: 0.2500 0.2500 0.2500 (multiplicity 8)  6 As 2.48

Summary:
- Crystal system: cubic
- Formation enthalpy at 0 K: -6.987 eV per formula unit

---

4.
Below is a geometry-optimized MgTlNi4 structure, with properties calculated at the GGA-PBE level.

Unit cell a=6.9364 b=6.9364 c=6.9364 alpha=90.00 beta=90.00 gamma=90.00
Closest atoms and distances in Å follow each position.
Space group F-43m (No. 216)
Unique sites:
Mg: 0.0000 0.0000 0.0000 (multiplicity 4)  12 Ni 2.88, 4 Tl 3.00
Tl: 0.2500 0.2500 0.2500 (multiplicity 4)  12 Ni 2.88, 4 Mg 3.00
Ni: 0.1253 0.1253 0.6253 (multiplicity 16)  6 Ni 2.45-2.46

Summary:
- Crystal system: cubic
- Formation enthalpy at 0 K: -0.095 eV per formula unit

---

5.
Below is a geometry-optimized InPb2Cl structure, with properties calculated at the GGA-PBE level.

Unit cell a=7.6394 b=7.6394 c=7.6394 alpha=90.00 beta=90.00 gamma=90.00
Closest atoms and distances in Å follow each position.
Space group Fm-3m (No. 225)
Unique sites:
In: 0.0000 0.0000 0.0000 (multiplicity 4)  8 Pb 3.31
Pb: 0.2500 0.2500 0.2500 (multiplicity 8)  4 In 3.31, 4 Cl 3.31
Cl: 0.0000 0.0000 0.5000 (multiplicity 4)  8 Pb 3.31

Summary:
- Distance to the lowest polymorph of the same formula: 0.52 eV/f.u.
- Crystal system: cubic
- Raw formation energy: -180 meV/atom

---

6.
Below is a geometry-optimized PrBiPd3 structure, with properties calculated at the GGA-PBE level.

Unit cell a=5.5878 b=8.0137 c=9.6385 alpha=90.00 beta=90.00 gamma=90.00
Closest atoms and distances in Å follow each position.
Space group Imma (No. 74)
Unique sites:
Pr: 0.0000 0.2500 0.0018 (multiplicity 4)  5 Pd 2.94-3.14
Bi: 0.0000 0.0000 0.5000 (multiplicity 4)  6 Pd 2.76-2.84
Pd: 0.0000 0.2500 0.6972 (multiplicity 4)  2 Bi 2.76, 1 Pr 2.94, 6 Pd 2.94-2.97
Pd: 0.2500 0.0666 0.2500 (multiplicity 8)  5 Pd 2.79-2.94, 2 Bi 2.84

Summary:
- Crystal system: orthorhombic
- Formation enthalpy at 0 K: -2.602 eV per formula unit

---

| no. | calculated total energy (eV per atom) |
| --- | --- |
| 1 | -10.382 |
| 2 | -4.190 |
| 3 | -6.184 |
| 4 | -4.530 |
| 5 | -3.180 |
| 6 | -5.368 |